NpPbCl6 PBE optimized geometry; total magnetic moment = 3.0 μB per formula unit; DFT total energy = -4.915 eV/atom; space group = R-3 (148)
1.0
3.3962 1.9608 6.2824
-3.3962 1.9608 6.2824
0.0000 -3.9216 6.2824
Np Pb Cl
1 1 6
Cartesian
0.0000 0.0000 0.0000
0.0000 0.0000 9.4236
-1.1136 -2.0969 7.7835
-2.3727 -0.0841 11.0637
-1.2592 2.0128 7.7834
1.2592 -2.0128 11.0637
2.3727 0.0841 7.7835
1.1136 2.0969 11.0637


BeFeCu4B2 PBE optimized geometry; total magnetic moment = 2.5 μB per formula unit; DFT total energy = -4.682 eV/atom; space group = P4/mmm (123)
1.0
3.4928 0.0000 0.0000
0.0000 3.4928 0.0000
0.0000 0.0000 6.4077
Be Fe Cu B
1 1 4 2
Cartesian
0.0000 0.0000 0.0000
1.7464 1.7464 3.2038
0.0000 1.7464 1.4404
0.0000 1.7464 4.9672
1.7464 0.0000 1.4404
1.7464 0.0000 4.9672
0.0000 0.0000 3.2038
1.7464 1.7464 0.0000


TaZn2 PBE optimized geometry; total magnetic moment = 0.0 μB per formula unit; formation enthalpy at 0 K = 0.1952 eV/atom; space group = Pmmn (59)
1.0
4.5490 0.0000 0.0000
0.0000 8.7022 0.0000
0.0000 0.0000 4.9006
Ta Zn
4 8
Cartesian
1.1373 0.7574 0.2301
1.1373 3.5937 0.2301
3.4118 5.1085 4.6704
3.4118 7.9448 4.6704
1.1373 2.1755 2.7035
1.1373 5.0204 2.7894
1.1373 6.5266 0.4425
1.1373 8.0329 2.7894
3.4118 0.6693 2.1112
3.4118 2.1755 4.4581
3.4118 3.6818 2.1112
3.4118 6.5266 2.1970


Li4In2GaAu PBE optimized geometry; DFT total energy = -2.830 eV/atom; space group = P-4m2 (115)
1.0
4.5674 0.0000 0.0000
0.0000 4.5674 0.0000
0.0000 0.0000 6.5973
Li In Ga Au
4 2 1 1
Cartesian
0.0000 0.0000 0.0000
0.0000 2.2837 4.9139
2.2837 0.0000 1.6833
2.2837 2.2837 3.2986
0.0000 2.2837 1.6459
2.2837 0.0000 4.9514
2.2837 2.2837 0.0000
0.0000 0.0000 3.2986


Fe3AgSb5 PBE optimized geometry; total magnetic moment = 6.4 μB per formula unit; DFT total energy = -5.250 eV/atom; space group = P6/mmm (191)
1.0
5.2726 0.0000 0.0000
-2.6363 4.5662 0.0000
0.0000 0.0000 8.0905
Fe Ag Sb
3 1 5
Cartesian
-1.3182 2.2831 0.0000
2.6363 0.0000 0.0000
1.3182 2.2831 0.0000
0.0000 0.0000 4.0453
0.0000 0.0000 0.0000
0.0000 3.0442 2.2847
0.0000 3.0442 5.8058
2.6363 1.5221 2.2847
2.6363 1.5221 5.8058


LuBeHgAu PBE optimized geometry; total magnetic moment = 0.0 μB per formula unit; DFT total energy = -3.176 eV/atom; space group = F-43m (216)
1.0
0.0000 3.3508 3.3508
3.3508 0.0000 3.3508
3.3508 3.3508 0.0000
Lu Be Hg Au
1 1 1 1
Cartesian
0.0000 0.0000 0.0000
3.3508 3.3508 3.3508
1.6754 1.6754 1.6754
5.0262 5.0262 5.0262


CsLiNpTe3 PBE optimized geometry; total magnetic moment = 3.0 μB per formula unit; DFT total energy = -5.087 eV/atom; space group = Cmcm (63)
1.0
2.2750 -8.2586 0.0000
2.2750 8.2586 0.0000
0.0000 0.0000 11.6894
Cs Li Np Te
2 2 2 6
Cartesian
2.2750 4.2474 8.7670
2.2750 -4.2474 2.9223
2.2750 7.6047 2.9223
2.2750 -7.6047 8.7670
2.2750 0.0000 0.0000
2.2750 0.0000 5.8447
2.2750 6.2721 0.5326
2.2750 6.2721 5.3121
2.2750 0.8720 2.9223
2.2750 -0.8720 8.7670
2.2750 -6.2721 6.3773
2.2750 -6.2721 11.1568


SmHoTe3Pb PBE optimized geometry; total magnetic moment = 0.1 μB per formula unit; DFT total energy = -4.626 eV/atom; space group = Cmcm (63)
1.0
2.2464 -7.6555 0.0000
2.2464 7.6555 0.0000
0.0000 0.0000 11.9413
Sm Ho Te Pb
2 2 6 2
Cartesian
0.0000 0.0000 0.0000
0.0000 0.0000 5.9706
2.2464 0.4219 8.9559
2.2464 -0.4219 2.9853
2.2464 6.1416 8.9559
2.2464 2.1765 6.5174
2.2464 2.1765 11.3945
2.2464 -2.1765 0.5468
2.2464 -2.1765 5.4238
2.2464 -6.1416 2.9853
2.2464 4.6104 2.9853
2.2464 -4.6104 8.9559


Question: Number 3 is which compound?
Answer: TaZn2